Below is CePm7Si4 after structural relaxation, with properties calculated at the GGA-PBE level.

abc: 14.4646 5.3552 10.6739
angles: 90.00 127.00 90.00
Space group C2/m (No. 12)
Inequivalent atoms, fractional coordinates:
Ce (0.0000, 0.0000, 0.0000)
Pm (0.0000, 0.5000, 0.0000)
Pm (0.0817, 0.0000, 0.3461)
Pm (0.1522, 0.5000, 0.5841)
Pm (0.2098, 0.0000, 0.8671)
Si (0.0731, 0.5000, 0.7799)
Si (0.2054, 0.5000, 0.3326)

Below is CePmSi4 after structural relaxation, with properties calculated at the GGA-PBE level.

abc: 4.1064 4.1064 14.2271
angles: 90.00 90.00 90.00
Space group I-4m2 (No. 119)
Inequivalent atoms, fractional coordinates:
Ce (0.0000, 0.0000, 0.0000)
Pm (0.0000, 0.5000, 0.2500)
Si (0.0000, 0.0000, 0.4172)
Si (0.0000, 0.5000, 0.6662)

Values from the calculation:
* energy above the most stable polymorph in this dataset: 0 meV/atom

Below is CePm2Si3 after structural relaxation, with properties calculated at the GGA-PBE level.

abc: 7.2750 12.6623 7.3190
angles: 90.00 109.54 90.00
Space group C2/c (No. 15)
Inequivalent atoms, fractional coordinates:
Ce (0.0000, 0.0860, 0.2500)
Pm (0.0000, 0.2529, 0.7500)
Pm (0.0000, 0.4170, 0.2500)
Si (0.2383, 0.0802, 0.9971)
Si (0.2500, 0.2500, 0.5000)

Below is Ce3Pm2Si4 after structural relaxation, with properties calculated at the GGA-PBE level.

abc: 6.5770 16.5685 8.3997
angles: 90.00 90.00 90.00
Space group Cmce (No. 64)
Inequivalent atoms, fractional coordinates:
Ce (0.0000, 0.0000, 0.0000)
Ce (0.2500, 0.2082, 0.2500)
Pm (0.0000, 0.1044, 0.5870)
Si (0.0000, 0.1801, 0.9422)
Si (0.2500, 0.0350, 0.2500)

Values from the calculation:
* energy above the most stable polymorph in this dataset: 210 meV/atom

no.,M_tot (μB/atom),V (Å³/cell),E_form (uncorrected) (eV per atom)
1,0.120,660.3,-0.184
2,0.001,239.9,-0.629
3,0.000,635.4,-0.443
4,0.165,915.3,-0.427